Record 1
# Y7Zn | the Alexandria database | GGA-PBE | relaxed
data_Y7Zn
_chemical_formula_sum 'Y7 Zn1'
_cell_length_a 6.984
_cell_length_b 6.984
_cell_length_c 6.984
_cell_angle_alpha 60.00
_cell_angle_beta 60.00
_cell_angle_gamma 60.00
_symmetry_space_group_name_H-M 'P 1'
_symmetry_Int_Tables_number 1
loop_
_symmetry_equiv_pos_as_xyz
'x,y,z'
loop_
_atom_site_label
_atom_site_fract_x
_atom_site_fract_y
_atom_site_fract_z
_atom_site_occupancy
Y1 0.000 0.000 0.000 1
Y2 0.000 0.000 0.500 1
Y3 0.000 0.500 0.000 1
Y4 0.000 0.500 0.500 1
Y5 0.500 0.000 0.000 1
Y6 0.500 0.000 0.500 1
Y7 0.500 0.500 0.000 1
Zn1 0.500 0.500 0.500 1
# M_tot: 0.0 μB/f.u.
# E_tot: -5.779 eV/atom
# DFT formation energy: 0.036 eV per atom
# relative energy among the computed polymorphs: 0.108 eV per atom



Record 2
# ThGa4Au | the Alexandria database | GGA-PBE | relaxed
data_ThGa4Au
_chemical_formula_sum 'Th1 Ga4 Au1'
_cell_length_a 6.100
_cell_length_b 6.100
_cell_length_c 4.429
_cell_angle_alpha 111.10
_cell_angle_beta 111.10
_cell_angle_gamma 61.11
_symmetry_space_group_name_H-M 'P 1'
_symmetry_Int_Tables_number 1
loop_
_symmetry_equiv_pos_as_xyz
'x,y,z'
loop_
_atom_site_label
_atom_site_fract_x
_atom_site_fract_y
_atom_site_fract_z
_atom_site_occupancy
Th1 0.000 0.000 0.000 1
Ga1 0.015 0.592 0.303 1
Ga2 0.408 0.985 0.697 1
Ga3 0.592 0.015 0.303 1
Ga4 0.985 0.408 0.697 1
Au1 0.500 0.500 0.500 1
# M_tot: 0.0 μB/f.u.
# E_tot: -4.111 eV/atom
# DFT formation energy: -0.311 eV per atom



Record 3
# La2MgRu | the Alexandria database | GGA-PBE | relaxed
data_La2MgRu
_chemical_formula_sum 'La2 Mg1 Ru1'
_cell_length_a 3.536
_cell_length_b 3.820
_cell_length_c 8.194
_cell_angle_alpha 90.00
_cell_angle_beta 96.91
_cell_angle_gamma 90.00
_symmetry_space_group_name_H-M 'P 1'
_symmetry_Int_Tables_number 1
loop_
_symmetry_equiv_pos_as_xyz
'x,y,z'
loop_
_atom_site_label
_atom_site_fract_x
_atom_site_fract_y
_atom_site_fract_z
_atom_site_occupancy
La1 0.081 0.000 0.294 1
La2 0.919 0.000 0.706 1
Mg1 0.500 0.500 0.000 1
Ru1 0.500 0.500 0.500 1
# M_tot: 0.0 μB/f.u.
# E_tot: -5.329 eV/atom
# DFT formation energy: -0.147 eV per atom



> The lowest E_tot belongs to which entry?

Y7Zn



> The lowest DFT formation energy belongs to which entry?

ThGa4Au



> Which formula does entry 2 have?

ThGa4Au



> Which value of DFT formation energy does entry 3 give?

-0.147 eV per atom